LaZr2: relaxed, PBE-GGA.

```
LaZr2
1.0
0.284 4.225 7.247
6.515 -1.010 5.194
5.554 6.210 1.022
La Zr
2 4
direct
0.250 0.250 0.250
0.500 0.500 0.500
0.375 0.375 0.375
0.375 0.875 0.375
0.875 0.375 0.375
0.375 0.375 0.875
```

Calculated values
Space group   Fd-3m, No. 227
ΔE to the lowest computed polymorph   278.3 kJ per mole of atoms
Formation energy from the elements   2.983 eV per atom

---

LaZr: relaxed, PBE-GGA.

```
LaZr
1.0
-4.958 2.618 0.174
-3.632 -6.981 1.530
0.623 0.830 5.264
La Zr
4 4
direct
0.945 0.464 0.000
0.445 0.786 0.000
0.388 0.464 0.500
0.888 0.786 0.500
0.999 0.041 0.000
0.499 0.209 0.000
0.334 0.041 0.500
0.834 0.209 0.500
```

Calculated values
Space group   Pbcm, No. 57
ΔE to the lowest computed polymorph   0.0 kJ per mole of atoms
Formation energy from the elements   0.093 eV per atom

---

LaZr: relaxed, PBE-GGA.

```
LaZr
1.0
5.922 0.000 0.000
0.000 10.572 0.000
0.000 0.000 5.534
La Zr
6 6
direct
0.487 0.155 0.000
0.987 0.679 0.000
0.865 0.159 0.500
0.320 0.342 0.500
0.821 0.491 0.500
0.365 0.674 0.500
0.001 0.342 0.000
0.501 0.491 0.000
0.521 0.848 0.000
0.021 0.985 0.000
0.806 0.861 0.500
0.306 0.972 0.500
```

Calculated values
Space group   Pmc2_1, No. 26
ΔE to the lowest computed polymorph   6.5 kJ per mole of atoms
Formation energy from the elements   0.160 eV per atom

---

LaZr: relaxed, PBE-GGA.

```
LaZr
1.0
-0.256 2.813 -3.622
2.436 -3.884 -0.276
-5.566 -3.335 -2.198
La Zr
2 2
direct
0.000 0.000 0.000
0.000 0.000 0.500
0.333 0.667 0.250
0.667 0.333 0.750
```

Calculated values
Space group   P6_3/mmc, No. 194
ΔE to the lowest computed polymorph   91.8 kJ per mole of atoms
Formation energy from the elements   1.044 eV per atom

---

LaZr: relaxed, PBE-GGA.

```
LaZr
1.0
-10.608 -6.732 0.745
1.708 -2.786 -0.853
1.008 -1.003 5.290
La Zr
4 4
direct
0.524 0.000 0.000
0.233 0.500 0.000
0.684 0.000 0.500
0.393 0.500 0.500
0.993 0.000 0.000
0.786 0.500 0.000
0.130 0.000 0.500
0.924 0.500 0.500
```

Calculated values
Space group   Pmmn, No. 59
ΔE to the lowest computed polymorph   2.5 kJ per mole of atoms
Formation energy from the elements   0.119 eV per atom

---

LaZr3: relaxed, PBE-GGA.

```
LaZr3
1.0
5.823 0.000 0.000
0.000 6.649 0.000
0.000 0.000 5.360
La Zr
2 6
direct
0.017 0.000 0.000
0.316 0.500 0.500
0.514 0.243 0.000
0.965 0.500 0.000
0.514 0.757 0.000
0.369 0.000 0.500
0.819 0.257 0.500
0.819 0.743 0.500
```

Calculated values
Space group   Pmmn, No. 59
Formation energy from the elements   0.144 eV per atom

---

LaZr: relaxed, PBE-GGA.

```
LaZr
1.0
12.218 0.000 0.000
0.000 6.863 0.000
0.000 0.000 5.537
La Zr
8 8
direct
0.744 0.260 0.000
0.026 0.500 0.000
0.491 0.500 0.000
0.744 0.740 0.000
0.176 0.000 0.500
0.641 0.000 0.500
0.923 0.240 0.500
0.923 0.760 0.500
0.021 0.000 0.000
0.464 0.000 0.000
0.256 0.258 0.000
0.256 0.742 0.000
0.411 0.242 0.500
0.203 0.500 0.500
0.646 0.500 0.500
0.411 0.758 0.500
```

Calculated values
Space group   Pmmn, No. 59
ΔE to the lowest computed polymorph   6.3 kJ per mole of atoms
Formation energy from the elements   0.158 eV per atom

---

LaZr2: relaxed, PBE-GGA.

```
LaZr2
1.0
-12.576 -4.992 -12.395
2.391 -0.378 -2.274
0.587 -5.131 1.471
La Zr
4 8
direct
0.662 0.000 0.000
0.162 0.500 0.000
0.782 0.000 0.500
0.282 0.500 0.500
0.354 0.000 0.000
0.997 0.000 0.000
0.497 0.500 0.000
0.854 0.500 0.000
0.090 0.000 0.500
0.448 0.000 0.500
0.590 0.500 0.500
0.948 0.500 0.500
```

Calculated values
Space group   Cmcm, No. 63
ΔE to the lowest computed polymorph   0.0 kJ per mole of atoms
Formation energy from the elements   0.099 eV per atom

---

LaZr: relaxed, PBE-GGA.

```
LaZr
1.0
0.000 3.135 3.135
3.135 0.000 3.135
3.135 3.135 0.000
La Zr
1 1
direct
0.000 0.000 0.000
0.500 0.500 0.500
```

Calculated values
Space group   Fm-3m, No. 225
ΔE to the lowest computed polymorph   82.6 kJ per mole of atoms
Formation energy from the elements   0.949 eV per atom

---

LaZr: relaxed, PBE-GGA.

```
LaZr
1.0
-1.387 -4.088 -8.355
5.605 -3.419 1.783
-3.117 -3.856 2.404
La Zr
6 6
direct
0.711 0.166 0.000
0.334 0.312 0.000
0.665 0.673 0.000
0.557 0.383 0.500
0.888 0.744 0.500
0.511 0.890 0.500
0.024 0.021 0.000
0.017 0.498 0.000
0.289 0.807 0.000
0.199 0.035 0.500
0.933 0.249 0.500
0.205 0.558 0.500
```

Calculated values
Space group   P2_1/m, No. 11
ΔE to the lowest computed polymorph   4.3 kJ per mole of atoms
Formation energy from the elements   0.138 eV per atom

---

LaZr: relaxed, PBE-GGA.

```
LaZr
1.0
5.488 0.000 0.000
-2.744 4.753 0.000
0.000 0.000 5.202
La Zr
2 2
direct
0.333 0.667 0.250
0.667 0.333 0.750
0.000 0.000 0.000
0.000 0.000 0.500
```

Calculated values
Space group   P6_3/mmc, No. 194
ΔE to the lowest computed polymorph   51.3 kJ per mole of atoms
Formation energy from the elements   0.624 eV per atom

---

LaZr: relaxed, PBE-GGA.

```
LaZr
1.0
6.234 0.000 0.000
0.000 3.403 0.000
0.000 0.000 5.482
La Zr
2 2
direct
0.510 0.500 0.000
0.824 0.500 0.500
0.048 0.000 0.000
0.286 0.000 0.500
```

Calculated values
Space group   Pmma, No. 51
ΔE to the lowest computed polymorph   7.6 kJ per mole of atoms
Formation energy from the elements   0.172 eV per atom

---

LaZr2: relaxed, PBE-GGA.

```
LaZr2
1.0
-2.050 5.310 -0.312
-3.860 -0.909 9.879
4.644 1.910 1.990
La Zr
4 8
direct
0.966 0.000 0.000
0.466 0.500 0.000
0.367 0.000 0.500
0.867 0.500 0.500
0.509 0.187 0.000
0.009 0.313 0.000
0.009 0.687 0.000
0.509 0.813 0.000
0.825 0.187 0.500
0.325 0.313 0.500
0.325 0.687 0.500
0.825 0.813 0.500
```

Calculated values
Space group   Cmcm, No. 63
ΔE to the lowest computed polymorph   2.6 kJ per mole of atoms
Formation energy from the elements   0.126 eV per atom

---

LaZr: relaxed, PBE-GGA.

```
LaZr
1.0
-3.694 -3.391 -3.435
3.643 -11.327 7.264
-4.113 0.927 3.508
La Zr
8 8
direct
0.981 0.505 0.000
0.514 0.634 0.000
0.514 0.866 0.000
0.981 0.995 0.000
0.352 0.005 0.500
0.820 0.134 0.500
0.820 0.366 0.500
0.352 0.495 0.500
0.496 0.146 0.000
0.044 0.250 0.000
0.496 0.354 0.000
0.012 0.750 0.000
0.322 0.250 0.500
0.838 0.646 0.500
0.289 0.750 0.500
0.838 0.854 0.500
```

Calculated values
Space group   Pmmn, No. 59
ΔE to the lowest computed polymorph   4.4 kJ per mole of atoms
Formation energy from the elements   0.139 eV per atom

---

LaZr2: relaxed, PBE-GGA.

```
LaZr2
1.0
0.000 4.334 4.334
4.334 0.000 4.334
4.334 4.334 0.000
La Zr
2 4
direct
0.000 0.000 0.000
0.250 0.250 0.250
0.625 0.625 0.125
0.625 0.125 0.625
0.125 0.625 0.625
0.625 0.625 0.625
```

Calculated values
Space group   Fd-3m, No. 227
ΔE to the lowest computed polymorph   16.4 kJ per mole of atoms
Formation energy from the elements   0.269 eV per atom

---

LaZr2: relaxed, PBE-GGA.

```
LaZr2
1.0
-5.109 -3.594 16.530
1.534 -2.855 -0.147
4.542 2.342 1.913
La Zr
4 8
direct
0.345 0.000 0.000
0.845 0.500 0.000
0.099 0.000 0.500
0.599 0.500 0.500
0.015 0.000 0.000
0.676 0.000 0.000
0.176 0.500 0.000
0.515 0.500 0.000
0.430 0.000 0.500
0.769 0.000 0.500
0.269 0.500 0.500
0.930 0.500 0.500
```

Calculated values
Space group   Cmcm, No. 63
ΔE to the lowest computed polymorph   7.2 kJ per mole of atoms
Formation energy from the elements   0.173 eV per atom

---

LaZr: relaxed, PBE-GGA.

```
LaZr
1.0
2.990 5.179 0.000
-6.037 6.938 0.000
0.000 0.000 5.544
La Zr
5 5
direct
0.824 0.393 0.000
0.176 0.600 0.000
0.617 0.807 0.000
0.473 0.381 0.500
0.254 0.819 0.500
0.955 0.032 0.000
0.387 0.168 0.000
0.683 0.013 0.500
0.095 0.187 0.500
0.870 0.600 0.500
```

Calculated values
Space group   Amm2, No. 38
ΔE to the lowest computed polymorph   6.4 kJ per mole of atoms
Formation energy from the elements   0.159 eV per atom

---

LaZr: relaxed, PBE-GGA.

```
LaZr
1.0
2.064 -5.340 -0.831
8.577 0.915 -4.743
2.615 0.267 4.780
La Zr
5 5
direct
0.456 0.175 0.000
0.831 0.425 0.000
0.590 0.800 0.000
0.044 0.164 0.500
0.408 0.436 0.500
0.177 0.638 0.000
0.015 0.962 0.000
0.861 0.635 0.500
0.253 0.800 0.500
0.696 0.964 0.500
```

Calculated values
Space group   Amm2, No. 38
ΔE to the lowest computed polymorph   3.3 kJ per mole of atoms
Formation energy from the elements   0.128 eV per atom

---

LaZr3: relaxed, PBE-GGA.

```
LaZr3
1.0
2.736 0.416 -6.124
-6.563 -0.020 0.754
0.027 5.377 0.377
La Zr
2 6
direct
0.005 0.511 0.000
0.828 0.156 0.500
0.501 0.501 0.000
0.010 0.994 0.000
0.483 0.994 0.000
0.333 0.166 0.500
0.350 0.673 0.500
0.823 0.673 0.500
```

Calculated values
Space group   Cmcm, No. 63
Formation energy from the elements   0.153 eV per atom

---

LaZr2: relaxed, PBE-GGA.

```
LaZr2
1.0
6.062 13.911 0.000
-5.783 6.836 0.000
0.000 0.000 5.355
La Zr
8 16
direct
0.004 0.003 0.000
0.733 0.312 0.000
0.341 0.316 0.000
0.825 0.798 0.000
0.853 0.045 0.500
0.461 0.049 0.500
0.191 0.358 0.500
0.369 0.563 0.500
0.594 0.092 0.000
0.167 0.152 0.000
0.940 0.410 0.000
0.509 0.494 0.000
0.082 0.591 0.000
0.638 0.719 0.000
0.233 0.760 0.000
0.400 0.866 0.000
0.028 0.209 0.500
0.600 0.269 0.500
0.795 0.495 0.500
0.961 0.601 0.500
0.556 0.642 0.500
0.113 0.770 0.500
0.685 0.867 0.500
0.255 0.951 0.500
```

Calculated values
Space group   P2_1/m, No. 11
ΔE to the lowest computed polymorph   4.0 kJ per mole of atoms
Formation energy from the elements   0.141 eV per atom

---

LaZr2: relaxed, PBE-GGA.

```
LaZr2
1.0
5.868 0.000 0.000
0.000 10.073 0.000
0.000 0.000 5.425
La Zr
4 8
direct
0.012 0.671 0.000
0.012 0.996 0.000
0.821 0.171 0.500
0.821 0.496 0.500
0.475 0.179 0.000
0.014 0.333 0.000
0.475 0.487 0.000
0.521 0.833 0.000
0.313 0.333 0.500
0.359 0.679 0.500
0.819 0.833 0.500
0.359 0.987 0.500
```

Calculated values
Space group   Pmmn, No. 59
ΔE to the lowest computed polymorph   6.4 kJ per mole of atoms
Formation energy from the elements   0.165 eV per atom

---

LaZr: relaxed, PBE-GGA.

```
LaZr
1.0
-5.645 -3.100 -2.534
6.060 -0.627 -3.283
1.149 -4.536 2.988
La Zr
4 4
direct
0.000 0.000 0.000
0.826 0.174 0.500
0.349 0.174 0.500
0.826 0.651 0.500
0.030 0.515 0.000
0.485 0.515 0.000
0.485 0.970 0.000
0.333 0.667 0.500
```

Calculated values
Space group   P-6m2, No. 187
ΔE to the lowest computed polymorph   10.1 kJ per mole of atoms
Formation energy from the elements   0.198 eV per atom

---

LaZr: relaxed, PBE-GGA.

```
LaZr
1.0
-0.485 -0.183 -5.987
-6.801 -1.579 0.600
-1.254 5.378 -0.062
La Zr
4 4
direct
0.989 0.000 0.000
0.364 0.000 0.500
0.819 0.279 0.500
0.819 0.721 0.500
0.494 0.287 0.000
0.038 0.500 0.000
0.494 0.713 0.000
0.318 0.500 0.500
```

Calculated values
Space group   Pmm2, No. 25
ΔE to the lowest computed polymorph   6.2 kJ per mole of atoms
Formation energy from the elements   0.157 eV per atom